# 1
A relaxed structure of U4NiRh12. Source: Alexandria via LeMat-Bulk, functional PBE-GGA.

It has space group Im-3m (No. 229), with a = 8.226 Å, b = 8.226 Å, c = 8.226 Å, α = 90.00°, β = 90.00° and γ = 90.00°. The asymmetric unit holds U at (0.250, 0.250, 0.250), Ni at (0.000, 0.000, 0.000), Rh at (0.000, 0.000, 0.285) and Rh at (0.000, 0.250, 0.500).

For the formation energy, the calculation gives -0.46 eV per atom. As for the electronic total energy: -8.6481 eV/atom.

---

# 2
A relaxed structure of UNi3Rh3. Source: Alexandria via LeMat-Bulk, functional PBE-GGA.

It has space group C2/m (No. 12), with a = 8.676 Å, b = 8.771 Å, c = 5.478 Å, α = 90.00°, β = 90.01° and γ = 90.00°. The asymmetric unit holds U at (0.229, 0.000, 0.499), Ni at (0.000, 0.240, 0.500), Ni at (0.000, 0.243, 0.000), Ni at (0.140, 0.000, 0.000), Rh at (0.000, 0.500, 0.239) and Rh at (0.250, 0.250, 0.241).

For the formation energy, the calculation gives -0.12 eV per atom. As for the electronic total energy: -7.3658 eV/atom.

---

# 3
A relaxed structure of U2Ni9Rh. Source: Alexandria via LeMat-Bulk, functional PBE-GGA.

It has space group P4/mmm (No. 123), with a = 3.823 Å, b = 3.823 Å, c = 10.921 Å, α = 90.00°, β = 90.00° and γ = 90.00°. The asymmetric unit holds U at (0.000, 0.000, 0.182), Ni at (0.000, 0.500, 0.000), Ni at (0.000, 0.500, 0.340), Ni at (0.500, 0.500, 0.168), Ni at (0.500, 0.500, 0.500) and Rh at (0.000, 0.000, 0.500).

The calculation puts the energy relative to the lowest polymorph listed for this composition at 2.8 kJ per mole of atoms. For the formation energy, the calculation gives -0.07 eV per atom. As for the electronic total energy: -6.8981 eV/atom.